The following is a PBE calculation of crystalline DyHoIn at its relaxed geometry, from OQMD.

Properties
- crystal system = cubic
- energy above the lowest structure with this stoichiometry (eV per atom) = 0.262
- DFT total energy (eV per cell) = -12.2
- symmetry = F-43m (216)

The structure in extended XYZ format:
```
3
Lattice="-0.2228 -3.9410 3.3283 -4.2776 -0.7917 2.7811 -3.0204 -4.0641 -1.0096" Properties=species:S:1:pos:R:3 pbc="T T T"
Dy -1.8802 -2.1992 1.2749
Ho -5.6406 -6.5977 3.8248
In 0.0000 0.0000 0.0000
```